No. 1
## Mn2CuCl (GGA-PBE)

Data for a relaxed Mn2CuCl crystal.

Properties
Raw formation energy in eV/atom: 0.472
Crystal system: tetragonal
Excess energy over the best structure of this formula in the dataset in eV/atom: 0.391
DOS(E_F) in states/eV per atom: 0.57

Lattice parameters (Å, degrees): 4.6993 4.6993 4.6993 129.04 129.04 74.94
Positions (direct):
Mn: 0.2500 0.7500 0.5000
Mn: 0.7500 0.2500 0.5000
Cu: 0.0000 0.0000 0.0000
Cl: 0.5000 0.5000 0.0000

---

No. 2
## Mn2CuCl (GGA-PBE)

Data for a relaxed Mn2CuCl crystal.

Properties
Raw formation energy in eV/atom: 0.213
Crystal system: orthorhombic
Excess energy over the best structure of this formula in the dataset in eV/atom: 0.133
DOS(E_F) in states/eV per atom: 0.41

Lattice parameters (Å, degrees): 6.5643 6.5643 6.5643 153.69 146.26 43.28
Positions (direct):
Mn: 0.0000 0.0000 0.0000
Mn: 0.8062 0.3062 0.5000
Cu: 0.4369 0.4369 0.0000
Cl: 0.1750 0.6750 0.5000

---

No. 3
## MnCu3Cl (GGA-PBE)

Data for a relaxed MnCu3Cl crystal.

Properties
Raw formation energy in eV/atom: 1.037
Crystal system: cubic
Excess energy over the best structure of this formula in the dataset in eV/atom: 0.077
DOS(E_F) in states/eV per atom: 1.62

Lattice parameters (Å, degrees): 4.6725 4.6725 4.6725 90.00 90.00 90.00
Positions (direct):
Mn: 0.0000 0.0000 0.0000
Cu: 0.0000 0.0000 0.5000
Cu: 0.0000 0.5000 0.0000
Cu: 0.5000 0.0000 0.0000
Cl: 0.5000 0.5000 0.5000